VASP calculation (PBE) on a relaxed structure of NaLaInSbO6.

a = 5.7744 Å, b = 5.7744 Å, c = 5.7744 Å
α = 60.00°, β = 60.00°, γ = 60.00°
Atoms (fractional coordinates):
Na: 0.0000 0.0000 0.0000
La: 0.5000 0.5000 0.5000
In: 0.7500 0.7500 0.7500
Sb: 0.2500 0.2500 0.2500
O: 0.0084 0.0084 0.4916
O: 0.0084 0.4916 0.0084
O: 0.0084 0.4916 0.4916
O: 0.4916 0.0084 0.0084
O: 0.4916 0.0084 0.4916
O: 0.4916 0.4916 0.0084

Calculated values
Its space group is F-43m (216). The value obtained for the final energy is -6.215 eV/atom. Its uncorrected formation energy is -1.9290 eV/atom.